# PmHo2VN4 (PBE, optimized geometry)
# ΔE_f (raw) = -1380.3 meV per atom
# Crystal system = orthorhombic
# Density of states at the Fermi level = 12.73 states/eV per cell
data_PmHo2VN4
_chemical_formula_sum 'Pm4 Ho8 V4 N16'
_cell_length_a 3.371
_cell_length_b 11.670
_cell_length_c 11.714
_cell_angle_alpha 90.00
_cell_angle_beta 90.00
_cell_angle_gamma 90.00
_symmetry_space_group_name_H-M 'C m c m'
_symmetry_Int_Tables_number 63
_symmetry_space_group_name_Hall '-C 2c 2'
loop_
_atom_site_label
_atom_site_type_symbol
_atom_site_fract_x
_atom_site_fract_y
_atom_site_fract_z
Pm1 Pm 0.000 0.085 0.250
Ho1 Ho 0.000 0.370 0.042
V1 V 0.000 0.174 0.750
N1 N 0.000 0.000 0.000
N2 N 0.000 0.264 0.625
N3 N 0.000 0.424 0.250

=====

# NaCa2Pd2 (PBE, optimized geometry)
# DFT formation energy = -0.49 eV/atom
# Crystal system = tetragonal
# Density of states at the Fermi level = 5.28 states/eV per cell
data_NaCa2Pd2
_chemical_formula_sum 'Na2 Ca4 Pd4'
_cell_length_a 8.040
_cell_length_b 8.040
_cell_length_c 3.789
_cell_angle_alpha 90.00
_cell_angle_beta 90.00
_cell_angle_gamma 90.00
_symmetry_space_group_name_H-M 'P 4/m b m'
_symmetry_Int_Tables_number 127
_symmetry_space_group_name_Hall '-P 4 2ab'
loop_
_atom_site_label
_atom_site_type_symbol
_atom_site_fract_x
_atom_site_fract_y
_atom_site_fract_z
Na1 Na 0.000 0.000 0.000
Ca1 Ca 0.162 0.338 0.500
Pd1 Pd 0.129 0.629 0.000

=====

# PrSmRhAu (PBE, optimized geometry)
# DFT formation energy = -0.69 eV/atom
# Crystal system = cubic
# Density of states at the Fermi level = 16.67 states/eV per cell
data_PrSmRhAu
_chemical_formula_sum 'Pr4 Sm4 Rh4 Au4'
_cell_length_a 7.251
_cell_length_b 7.251
_cell_length_c 7.251
_cell_angle_alpha 90.00
_cell_angle_beta 90.00
_cell_angle_gamma 90.00
_symmetry_space_group_name_H-M 'F -4 3 m'
_symmetry_Int_Tables_number 216
_symmetry_space_group_name_Hall 'F -4 2 3'
loop_
_atom_site_label
_atom_site_type_symbol
_atom_site_fract_x
_atom_site_fract_y
_atom_site_fract_z
Pr1 Pr 0.000 0.000 0.000
Sm1 Sm 0.000 0.000 0.500
Rh1 Rh 0.250 0.250 0.250
Au1 Au 0.250 0.250 0.750

=====

# BaLa3Pt (PBE, optimized geometry)
# DFT formation energy = 0.39 eV/atom
# Crystal system = tetragonal
# Density of states at the Fermi level = 22.16 states/eV per cell
data_BaLa3Pt
_chemical_formula_sum 'Ba4 La12 Pt4'
_cell_length_a 5.882
_cell_length_b 5.882
_cell_length_c 26.517
_cell_angle_alpha 90.00
_cell_angle_beta 90.00
_cell_angle_gamma 90.00
_symmetry_space_group_name_H-M 'I -4 m 2'
_symmetry_Int_Tables_number 119
_symmetry_space_group_name_Hall 'I -4 -2'
loop_
_atom_site_label
_atom_site_type_symbol
_atom_site_fract_x
_atom_site_fract_y
_atom_site_fract_z
Ba1 Ba 0.000 0.000 0.000
Ba2 Ba 0.000 0.500 0.250
La1 La 0.000 0.000 0.289
La2 La 0.000 0.237 0.142
Pt1 Pt 0.000 0.500 0.696

=====

# Cr2CdW (PBE, optimized geometry)
# DFT formation energy = 0.52 eV/atom
# Crystal system = tetragonal
# Density of states at the Fermi level = 3.24 states/eV per cell
data_Cr2CdW
_chemical_formula_sum 'Cr2 Cd1 W1'
_cell_length_a 4.374
_cell_length_b 4.374
_cell_length_c 3.205
_cell_angle_alpha 90.00
_cell_angle_beta 90.00
_cell_angle_gamma 90.00
_symmetry_space_group_name_H-M 'P 4/m m m'
_symmetry_Int_Tables_number 123
_symmetry_space_group_name_Hall '-P 4 2'
loop_
_atom_site_label
_atom_site_type_symbol
_atom_site_fract_x
_atom_site_fract_y
_atom_site_fract_z
Cr1 Cr 0.000 0.500 0.000
Cd1 Cd 0.000 0.000 0.500
W1 W 0.500 0.500 0.500

=====

# RbTl2AgBr8 (PBE, optimized geometry)
# ΔE_f (raw) = -642.5 meV per atom
# Crystal system = tetragonal
data_RbTl2AgBr8
_chemical_formula_sum 'Rb2 Tl4 Ag2 Br16'
_cell_length_a 6.917
_cell_length_b 6.917
_cell_length_c 18.938
_cell_angle_alpha 90.00
_cell_angle_beta 90.00
_cell_angle_gamma 90.00
_symmetry_space_group_name_H-M 'I -4'
_symmetry_Int_Tables_number 82
loop_
_symmetry_equiv_pos_as_xyz
'x,y,z'
'y,-x,-z'
'-x,-y,z'
'-y,x,-z'
'x+1/2,y+1/2,z+1/2'
'y+1/2,-x+1/2,-z+1/2'
'-x+1/2,-y+1/2,z+1/2'
'-y+1/2,x+1/2,-z+1/2'
loop_
_atom_site_label
_atom_site_type_symbol
_atom_site_fract_x
_atom_site_fract_y
_atom_site_fract_z
Rb1 Rb 0.000 0.000 0.000
Tl1 Tl 0.000 0.000 0.500
Tl2 Tl 0.000 0.500 0.250
Ag1 Ag 0.000 0.500 0.750
Br1 Br 0.181 0.235 0.586
Br2 Br 0.202 0.783 0.187